No. 1
Compound: FeTe4Mo
Source: Alexandria via LeMat-Bulk
Functional: PBE-GGA
Structure: optimized geometry

Output
* D(E_F): 9.89 states/eV per cell
* formation energy from raw total energies: 8.5 eV per formula unit
* volume: 28.63 Å³/atom

Geometry as extended XYZ:
```
6
Lattice="0.000 4.412 4.412 4.412 0.000 4.412 4.412 4.412 0.000" Properties=species:S:1:pos:R:3 pbc="T T T"
Fe 6.618 6.618 6.618
Te 3.309 5.516 5.516
Te 5.516 5.516 3.309
Te 5.516 3.309 5.516
Te 3.309 3.309 3.309
Mo 0.000 0.000 0.000
```

---

No. 2
Compound: CsBeGa3
Source: Alexandria via LeMat-Bulk
Functional: PBE-GGA
Structure: optimized geometry

Output
* D(E_F): 3.10 states/eV per cell
* energy relative to the lowest polymorph listed for this composition: 0.000 eV per atom
* volume: 24.82 Å³/atom
* formation energy from the elements: 0.36 eV/atom

Geometry as extended XYZ:
```
5
Lattice="4.988 0.000 0.000 0.000 4.988 0.000 0.000 0.000 4.988" Properties=species:S:1:pos:R:3 pbc="T T T"
Cs 2.494 2.494 2.494
Be 0.000 0.000 0.000
Ga 0.000 2.494 0.000
Ga 0.000 0.000 2.494
Ga 2.494 0.000 0.000
```

---

No. 3
Compound: ThNi8Ge2
Source: Alexandria via LeMat-Bulk
Functional: PBE-GGA
Structure: optimized geometry

Output
* D(E_F): 8.01 states/eV per cell
* volume: 14.99 Å³/atom
* formation energy from the elements: 0.03 eV/atom

Geometry as extended XYZ:
```
11
Lattice="5.812 0.000 0.000 0.000 5.812 0.000 0.000 0.000 4.882" Properties=species:S:1:pos:R:3 pbc="T T T"
Th 2.906 2.906 2.441
Ni 4.620 4.620 1.239
Ni 4.620 1.192 3.644
Ni 4.620 4.620 3.644
Ni 4.620 1.192 1.239
Ni 1.192 4.620 1.239
Ni 1.192 4.620 3.644
Ni 1.192 1.192 1.239
Ni 1.192 1.192 3.644
Ge 2.906 0.000 0.000
Ge 0.000 2.906 0.000
```

---

No. 4
Compound: Te3P
Source: Alexandria via LeMat-Bulk
Functional: PBE-GGA
Structure: optimized geometry

Output
* D(E_F): 2.22 states/eV per cell
* energy relative to the lowest polymorph listed for this composition: 0.025 eV per atom
* formation energy from raw total energies: 0.9 eV per formula unit
* volume: 27.87 Å³/atom

Geometry as extended XYZ:
```
4
Lattice="3.053 -4.344 0.000 3.053 4.344 0.000 0.000 0.000 4.202" Properties=species:S:1:pos:R:3 pbc="T T T"
Te 3.053 2.382 2.101
Te 3.053 0.000 0.000
Te 3.053 -2.382 2.101
P 0.000 0.000 0.000
```

---

No. 5
Compound: Os
Source: Alexandria via LeMat-Bulk
Functional: PBE-GGA
Structure: optimized geometry

Output
* D(E_F): 1.45 states/eV per cell
* energy relative to the lowest polymorph listed for this composition: 1.555 eV per atom
* volume: 16.76 Å³/atom
* formation energy from the elements: 1.56 eV/atom

Geometry as extended XYZ:
```
1
Lattice="-0.338 1.300 -2.178 -2.088 -1.391 -0.506 -1.441 1.710 1.245" Properties=species:S:1:pos:R:3 pbc="T T T"
Os 0.000 0.000 0.000
```

---

No. 6
Compound: AcScGaIr
Source: Alexandria via LeMat-Bulk
Functional: PBE-GGA
Structure: optimized geometry

Output
* D(E_F): 4.30 states/eV per cell
* volume: 23.15 Å³/atom
* formation energy from the elements: -0.38 eV/atom

Geometry as extended XYZ:
```
4
Lattice="-0.602 5.042 -0.101 -4.187 2.016 -2.049 -3.476 2.202 2.976" Properties=species:S:1:pos:R:3 pbc="T T T"
Sc 0.000 0.000 0.000
Ac -4.132 4.630 0.413
Ir -6.199 6.945 0.620
Ga -2.066 2.315 0.207
```